This record from the Alexandria database describes an optimized crystal structure of AcZnNi4. The functional is PBE.

Values from the calculation:
* distance to the lowest polymorph of the same formula: 0 meV per atom
* energy relative to the elements: -0.1706 eV/atom

Unit cell a=5.0805 b=5.0805 c=5.0805 alpha=60.00 beta=60.00 gamma=60.00
Positions (direct):
1 Ac 0.0000 0.0000 0.0000
2 Zn 0.7500 0.7500 0.7500
3 Ni 0.3771 0.3771 0.3771
4 Ni 0.3771 0.3771 0.8686
5 Ni 0.3771 0.8686 0.3771
6 Ni 0.8686 0.3771 0.3771

This record from the Alexandria database describes an optimized crystal structure of Pm3Pr5Se8. The functional is PBE.

Values from the calculation:
* energy: -95.390 eV/cell

Unit cell a=8.4910 b=8.4910 c=8.4910 alpha=59.86 beta=59.86 gamma=59.86
Positions (direct):
1 Pm 0.0000 0.5000 0.5000
2 Pm 0.5000 0.0000 0.5000
3 Pm 0.5000 0.5000 0.0000
4 Pr 0.0000 0.0000 0.0000
5 Pr 0.0000 0.0000 0.5000
6 Pr 0.0000 0.5000 0.0000
7 Pr 0.5000 0.0000 0.0000
8 Pr 0.5000 0.5000 0.5000
9 Se 0.2500 0.2500 0.7458
10 Se 0.2500 0.7458 0.2500
11 Se 0.2521 0.2521 0.2521
12 Se 0.2542 0.7500 0.7500
13 Se 0.7458 0.2500 0.2500
14 Se 0.7479 0.7479 0.7479
15 Se 0.7500 0.2542 0.7500
16 Se 0.7500 0.7500 0.2542

This record from the Alexandria database describes an optimized crystal structure of TaTc2PdF. The functional is PBE.

Values from the calculation:
* energy: -37.442 eV/cell

Unit cell a=4.1766 b=4.1766 c=4.2125 alpha=90.00 beta=90.00 gamma=90.00
Positions (direct):
1 Ta 0.0000 0.0000 0.0000
2 Tc 0.0000 0.5000 0.5000
3 Tc 0.5000 0.0000 0.5000
4 Pd 0.5000 0.5000 0.0000
5 F 0.0000 0.0000 0.5000

This record from the Alexandria database describes an optimized crystal structure of Ho4Te3Ir. The functional is PBE.

Values from the calculation:
* distance to the lowest polymorph of the same formula: 276 meV per atom

Unit cell a=6.0335 b=9.9554 c=9.0950 alpha=90.00 beta=90.00 gamma=90.00
Positions (direct):
1 Ho 0.2500 0.0382 0.1920
2 Ho 0.2500 0.2500 0.6440
3 Ho 0.2500 0.4618 0.1920
4 Ho 0.2500 0.7500 0.6453
5 Ho 0.7500 0.2500 0.3547
6 Ho 0.7500 0.5382 0.8080
7 Ho 0.7500 0.7500 0.3560
8 Ho 0.7500 0.9618 0.8080
9 Te 0.2500 0.0027 0.8499
10 Te 0.2500 0.4973 0.8499
11 Te 0.2500 0.7500 0.3065
12 Te 0.7500 0.2500 0.6935
13 Te 0.7500 0.5027 0.1501
14 Te 0.7500 0.9973 0.1501
15 Ir 0.2500 0.2500 0.3588
16 Ir 0.7500 0.7500 0.6412

Question: Number 2 is which compound?
Answer: Pm3Pr5Se8